Zr2GaNi | PBE-GGA | optimized geometry

Its space-group type is Cmcm. The raw total energy is -54.66 eV/cell.

```
Zr2GaNi
1.0
3.090 -4.862 0.000
3.090 4.862 0.000
0.000 0.000 4.679
Zr Ga Ni
4 2 2
Direct
0.134 0.351 0.250
0.351 0.134 0.750
0.649 0.866 0.250
0.866 0.649 0.750
0.351 0.649 0.750
0.649 0.351 0.250
0.161 0.839 0.250
0.839 0.161 0.750
```